DFT (PBE) results for an optimized crystal structure of AgTe2PdI.

Cell: 5.434 5.434 5.615 Å, 90.00 90.00 90.00°
Each line ends with the local moment (μB).
Fractional coordinates of all 5 atoms:
1 I 0.000 0.000 0.500  0.10
2 Te 0.000 0.500 0.000  0.22
3 Te 0.500 0.000 0.000  0.22
4 Pd 0.500 0.500 0.500  0.38
5 Ag 0.000 0.000 0.000  0.01

Calculated values
Electronic total energy ... -11.96 eV/cell
Size of the total moment ... 1.3 μB per formula unit
Mass density ... 5.972 g cm⁻³
Uncorrected formation energy ... 0.783 eV per atom
DOS(E_F) ... 7.729 states/eV/f.u.
ΔE to the lowest computed polymorph ... 411.4 meV per atom



DFT (PBE) results for an optimized crystal structure of TiAg2PdI.

Cell: 5.252 4.738 5.252 Å, 90.00 90.00 90.00°
Each line ends with the local moment (μB).
Fractional coordinates of all 5 atoms:
1 I 0.500 0.500 0.500  0.03
2 Pd 0.000 0.500 0.000  0.01
3 Ag 0.000 0.000 0.500  0.06
4 Ag 0.500 0.000 0.000  0.06
5 Ti 0.000 0.000 0.000  1.11

Calculated values
Electronic total energy ... -16.23 eV/cell
Size of the total moment ... 1.5 μB per formula unit
Mass density ... 6.316 g cm⁻³
Uncorrected formation energy ... 0.823 eV per atom
DOS(E_F) ... 4.478 states/eV/f.u.



DFT (PBE) results for an optimized crystal structure of Tl2AgPdI6.

Cell: 7.681 8.261 11.356 Å, 90.00 89.07 90.00°
Fractional coordinates of all 20 atoms:
1 Tl 0.030 0.908 0.250
2 Tl 0.530 0.592 0.750
3 Tl 0.970 0.092 0.750
4 Tl 0.470 0.408 0.250
5 Ag 0.500 0.000 0.000
6 Ag 0.000 0.500 0.500
7 Pd 0.500 0.000 0.500
8 Pd 0.000 0.500 0.000
9 I 0.290 0.682 0.036
10 I 0.790 0.818 0.536
11 I 0.710 0.318 0.964
12 I 0.210 0.182 0.464
13 I 0.300 0.698 0.471
14 I 0.800 0.802 0.971
15 I 0.700 0.302 0.529
16 I 0.200 0.198 0.029
17 I 0.927 0.492 0.238
18 I 0.427 0.008 0.738
19 I 0.073 0.508 0.762
20 I 0.573 0.992 0.262

Calculated values
Electronic total energy ... -50.97 eV/cell
Size of the total moment ... 0.0 μB per formula unit
Mass density ... 6.382 g cm⁻³
Uncorrected formation energy ... -0.341 eV per atom
DOS(E_F) ... 5.152 states/eV/f.u.